1.
This record from the Alexandria database describes an optimized crystal structure of CsSBrCl2. The functional is PBE-GGA.

a = 5.626 Å, b = 5.626 Å, c = 4.924 Å
α = 90.00°, β = 90.00°, γ = 90.00°
Space group P4/mmm (No. 123)
Asymmetric unit:
Cs (0.000, 0.000, 0.000)
S (0.500, 0.500, 0.000)
Br (0.500, 0.500, 0.500)
Cl (0.000, 0.500, 0.500)

Output
Crystal system: tetragonal
Raw formation energy: -1.87 eV per formula unit
Density of states at the Fermi level: 3.16 states/eV/f.u.
Magnetization: 0.338 μB/f.u.



2.
This record from the Alexandria database describes an optimized crystal structure of Ba5AsI5. The functional is PBE-GGA.

a = 15.591 Å, b = 6.959 Å, c = 9.922 Å
α = 90.00°, β = 108.96°, γ = 90.00°
Space group C2/m (No. 12)
Asymmetric unit:
Ba (0.000, 0.000, 0.000)
Ba (0.152, 0.500, 0.307)
Ba (0.156, 0.500, 0.851)
As (0.000, 0.500, 0.000)
I (0.000, 0.500, 0.500)
I (0.161, 0.000, 0.819)
I (0.175, 0.000, 0.338)

Output
Crystal system: monoclinic
Raw formation energy: -16.48 eV per formula unit
Density of states at the Fermi level: 5.52 states/eV/f.u.
Magnetization: 0.000 μB/f.u.



3.
This record from the Alexandria database describes an optimized crystal structure of Li2NdCd2. The functional is PBE-GGA.

a = 14.835 Å, b = 3.368 Å, c = 4.902 Å
α = 90.00°, β = 108.81°, γ = 90.00°
Space group C2/m (No. 12)
Asymmetric unit:
Li (0.224, 0.000, 0.222)
Nd (0.000, 0.500, 0.000)
Cd (0.111, 0.000, 0.609)

Output
Formation energy from the elements: -1.04 eV per formula unit
Crystal system: monoclinic
Density of states at the Fermi level: 4.08 states/eV/f.u.
Magnetization: 0.001 μB/f.u.